## FeH12PtCl6O6 (PBE with a Hubbard U)

Data for an optimized crystal structure of FeH12PtCl6O6.

Properties
Spin magnetization ... 4.0 μB per formula unit
Calculated total energy ... -4.531 eV/atom
Crystal system ... trigonal

Cell: 7.2139 7.2139 7.2139 Å, 97.00 97.00 97.00°
Closest atoms and distances in Å follow each position.
Fractional coordinates of all 26 atoms:
Cl1 0.2706 0.1769 0.9268  2 H 2.25-2.28, 1 Pt 2.35
Cl2 0.8231 0.0732 0.7294  2 H 2.25-2.28, 1 Pt 2.35
Cl3 0.0732 0.7294 0.8231  2 H 2.25-2.28, 1 Pt 2.35
Cl4 0.7294 0.8231 0.0732  2 H 2.25-2.28, 1 Pt 2.35
Cl5 0.9268 0.2706 0.1769  2 H 2.25-2.28, 1 Pt 2.35
Cl6 0.1769 0.9268 0.2706  2 H 2.25-2.28, 1 Pt 2.35
O1 0.5576 0.2264 0.3850  2 H 0.98
O2 0.7736 0.6150 0.4424  2 H 0.98
O3 0.3850 0.5576 0.2264  2 H 0.98
O4 0.2264 0.3850 0.5576  2 H 0.98
O5 0.6150 0.4424 0.7736  2 H 0.98
O6 0.4424 0.7736 0.6150  2 H 0.98
H1 0.7839 0.6900 0.3378  1 O 0.98
H2 0.6900 0.3378 0.7839  1 O 0.98
H3 0.2161 0.3100 0.6622  1 O 0.98
H4 0.5483 0.8699 0.6745  1 O 0.98
H5 0.6622 0.2161 0.3100  1 O 0.98
H6 0.6745 0.5483 0.8699  1 O 0.98
H7 0.3378 0.7839 0.6900  1 O 0.98
H8 0.1301 0.3255 0.4517  1 O 0.98
H9 0.8699 0.6745 0.5483  1 O 0.98
H10 0.4517 0.1301 0.3255  1 O 0.98
H11 0.3255 0.4517 0.1301  1 O 0.98
H12 0.3100 0.6622 0.2161  1 O 0.98
Pt1 0.0000 0.0000 0.0000  6 Cl 2.35
Fe1 0.5000 0.5000 0.5000  6 O 2.15